[1]
First-principles (PBE-GGA) data for BaGeTe3 after structural relaxation, as listed in Alexandria.

Calculated values
Excess energy over the best structure of this formula in the dataset   16 meV/atom
DOS(E_F)   0.313 states/eV per atom
E   -0.14189 hartree per atom
M_tot   0.00 μB per formula unit
ρ   5.76 g/cm³
Raw formation energy   -0.668 eV/atom
Space group   P1, No. 1

Geometry as POSCAR:
```
BaGeTe3
1.0
-7.5684 0.2644 1.8239
-3.0665 -3.0430 -6.0576
3.0743 -5.7859 1.3492
Ba Ge Te
2 2 6
direct
0.3049 0.9039 0.3982
0.6824 0.3979 0.0869
0.9929 0.1507 0.7419
0.9922 0.6511 0.7420
0.2101 0.3542 0.1136
0.7751 0.9471 0.3697
0.3199 0.8180 0.9057
0.7739 0.9475 0.8948
0.2110 0.3541 0.5887
0.6650 0.4831 0.5782
```

[2]
First-principles (PBE-GGA) data for BaGeTe3 after structural relaxation, as listed in Alexandria.

Calculated values
Excess energy over the best structure of this formula in the dataset   0 meV/atom
E   -0.14248 hartree per atom
M_tot   0.00 μB per formula unit
ρ   5.19 g/cm³
Raw formation energy   -0.684 eV/atom
Space group   P-1, No. 2

Geometry as POSCAR:
```
BaGeTe3
1.0
5.4112 0.0583 0.1704
0.2514 8.2237 2.0827
0.1474 -0.0537 8.5138
Ba Ge Te
2 2 6
direct
0.9602 0.1521 0.5903
0.5240 0.7523 0.1918
0.7417 0.6212 0.7231
0.7434 0.2832 0.0594
0.4914 0.3479 0.7875
0.9937 0.5566 0.9949
0.4709 0.3069 0.3143
0.4690 0.8762 0.7489
0.0155 0.0281 0.0331
0.0135 0.5974 0.4678
```

[3]
First-principles (PBE-GGA) data for Ba3Ge5Te12 after structural relaxation, as listed in Alexandria.

Calculated values
DOS(E_F)   0.774 states/eV per atom
E   -0.13978 hartree per atom
M_tot   0.00 μB per formula unit
ρ   5.21 g/cm³
Raw formation energy   -0.476 eV/atom
Space group   Ia-3d, No. 230

Geometry as POSCAR:
```
Ba3Ge5Te12
1.0
-5.3258 14.0313 -4.3842
-12.0715 -9.6542 2.3531
8.1830 1.4370 13.2452
Ba Ge Te
12 20 48
direct
0.7500 0.3750 0.1250
0.8750 0.7500 0.1250
0.3750 0.7500 0.6250
0.2500 0.1250 0.3750
0.8750 0.1250 0.2500
0.3750 0.6250 0.2500
0.6250 0.3750 0.7500
0.1250 0.8750 0.7500
0.7500 0.8750 0.6250
0.6250 0.2500 0.3750
0.1250 0.2500 0.8750
0.2500 0.6250 0.8750
0.1250 0.3750 0.2500
0.0000 0.5000 0.0000
0.0000 0.0000 0.0000
0.3750 0.2500 0.1250
0.5000 0.0000 0.5000
0.5000 0.5000 0.0000
0.1250 0.7500 0.3750
0.7500 0.1250 0.8750
0.7500 0.6250 0.3750
0.3750 0.1250 0.7500
0.6250 0.8750 0.2500
0.5000 0.5000 0.5000
0.5000 0.0000 0.0000
0.0000 0.0000 0.5000
0.2500 0.3750 0.6250
0.2500 0.8750 0.1250
0.0000 0.5000 0.5000
0.8750 0.2500 0.6250
0.6250 0.7500 0.8750
0.8750 0.6250 0.7500
0.7031 0.1148 0.0221
0.3190 0.5221 0.4073
0.9779 0.3852 0.2969
0.5221 0.2031 0.1148
0.5883 0.7031 0.6810
0.9779 0.5927 0.1810
0.3190 0.7969 0.4117
0.0927 0.9117 0.1148
0.5927 0.9779 0.6810
0.7031 0.5883 0.1810
0.7969 0.4779 0.3852
0.8190 0.9073 0.0221
0.1148 0.7031 0.5221
0.3852 0.4073 0.0883
0.0883 0.9073 0.3852
0.4117 0.1148 0.5927
0.0883 0.1810 0.2031
0.4779 0.6810 0.0927
0.8190 0.9117 0.2969
0.1148 0.4117 0.0927
0.3852 0.9779 0.7969
0.5927 0.6148 0.4117
0.9073 0.8190 0.5221
0.7969 0.3190 0.9117
0.4073 0.3852 0.5883
0.0927 0.1810 0.4779
0.2031 0.6810 0.0883
0.1810 0.0883 0.7031
0.6148 0.0221 0.2031
0.8852 0.5883 0.9073
0.5221 0.3190 0.9073
0.5883 0.8852 0.4073
0.9117 0.8190 0.7969
0.9117 0.0927 0.6148
0.8852 0.2969 0.4779
0.1810 0.0927 0.9779
0.6148 0.5927 0.9117
0.4073 0.0221 0.3190
0.2969 0.4117 0.8190
0.2031 0.5221 0.6148
0.9073 0.0883 0.8852
0.6810 0.2031 0.5883
0.4779 0.7969 0.8852
0.0221 0.4073 0.8190
0.4117 0.2969 0.3190
0.0221 0.6148 0.7031
0.6810 0.4779 0.5927
0.2969 0.8852 0.9779
```